Density functional theory data (GGA-PBEsol) for a relaxed structure of BaLa2Zn.

The structure in POSCAR format:
```
BaLa2Zn
1.0
3.814 0.000 0.000
0.000 3.814 0.000
0.000 0.000 9.520
Ba La Zn
1 2 1
Direct
0.000 0.000 0.000
0.500 0.500 0.331
0.500 0.500 0.669
0.000 0.000 0.500
```

Summary:
Final energy (eV per atom): -3.66
Density of states at the Fermi level (states/eV per cell): 5.81

=====

Density functional theory data (GGA-PBEsol) for a relaxed structure of BaLaZn2.

The structure in POSCAR format:
```
BaLaZn2
1.0
7.366 0.000 0.000
0.000 7.366 0.000
0.000 0.000 7.366
Ba La Zn
4 4 8
Direct
0.000 0.000 0.000
0.000 0.500 0.500
0.500 0.000 0.500
0.500 0.500 0.000
0.250 0.250 0.750
0.250 0.750 0.250
0.750 0.250 0.250
0.750 0.750 0.750
0.000 0.000 0.500
0.000 0.500 0.000
0.250 0.250 0.250
0.250 0.750 0.750
0.500 0.000 0.000
0.500 0.500 0.500
0.750 0.250 0.750
0.750 0.750 0.250
```

Summary:
Final energy (eV per atom): -2.54
Density of states at the Fermi level (states/eV per cell): 15.91

=====

Density functional theory data (GGA-PBEsol) for a relaxed structure of BaLa2Zn.

The structure in POSCAR format:
```
BaLa2Zn
1.0
4.911 0.000 0.000
0.000 4.911 0.000
0.000 0.000 10.209
Ba La Zn
2 4 2
Direct
0.000 0.000 0.000
0.500 0.500 0.500
0.000 0.000 0.500
0.000 0.500 0.250
0.500 0.000 0.750
0.500 0.500 0.000
0.000 0.500 0.750
0.500 0.000 0.250
```

Summary:
Final energy (eV per atom): -3.49
Density of states at the Fermi level (states/eV per cell): 8.22

=====

Density functional theory data (GGA-PBEsol) for a relaxed structure of BaLa2Zn.

The structure in POSCAR format:
```
BaLa2Zn
1.0
3.799 0.000 0.000
0.000 3.799 0.000
0.000 0.000 9.316
Ba La Zn
1 2 1
Direct
0.000 0.000 0.000
0.000 0.000 0.592
0.500 0.500 0.339
0.500 0.500 0.766
```

Summary:
Final energy (eV per atom): -3.66
Density of states at the Fermi level (states/eV per cell): 5.11

=====

Density functional theory data (GGA-PBEsol) for a relaxed structure of Ba4LaZn.

The structure in POSCAR format:
```
Ba4LaZn
1.0
0.000 5.109 5.109
5.109 0.000 5.109
5.109 5.109 0.000
Ba La Zn
4 1 1
Direct
0.376 0.376 0.376
0.376 0.376 0.873
0.376 0.873 0.376
0.873 0.376 0.376
0.000 0.000 0.000
0.750 0.750 0.750
```

Summary:
Final energy (eV per atom): -2.02
Density of states at the Fermi level (states/eV per cell): 13.34

=====

Density functional theory data (GGA-PBEsol) for a relaxed structure of BaLaZn2.

The structure in POSCAR format:
```
BaLaZn2
1.0
3.843 0.000 0.000
0.000 3.843 0.000
0.000 0.000 7.666
Ba La Zn
1 1 2
Direct
0.000 0.000 0.000
0.000 0.000 0.500
0.500 0.500 0.290
0.500 0.500 0.710
```

Summary:
Final energy (eV per atom): -2.86
Density of states at the Fermi level (states/eV per cell): 3.35